A plane-wave DFT calculation with GGA-PBE was carried out for a relaxed structure of Zr3AgO.

Calculated total energy = -5.39 eV/atom
Space group = Pm-3m, No. 221
Formation energy (no corrections) = 1.305 eV per atom
Total magnetic moment = 2.90 μB per cell

Unit cell a=5.144 b=5.144 c=5.144 alpha=90.00 beta=90.00 gamma=90.00
Fractional coordinates of all 5 atoms:
1 Zr 0.000 0.000 0.500
2 Zr 0.000 0.500 0.000
3 Zr 0.500 0.000 0.000
4 Ag 0.000 0.000 0.000
5 O 0.500 0.500 0.500